VASP calculation (PBE-GGA) on a relaxed structure of Pr2SmMgO.

The formation energy without anion corrections is -1.172 eV/atom. The calculation puts the final energy at -0.3924 Ry per atom.

Cell lengths 5.097, 5.097, 4.899 Å; angles 90.00, 90.00, 90.00 degrees
Fractional coordinates of all 5 atoms:
Pr 0.000 0.500 0.000
Pr 0.500 0.000 0.000
Sm 0.000 0.000 0.500
Mg 0.500 0.500 0.500
O 0.000 0.000 0.000